1.
# InGeRh3, relaxed, DFT PBE-GGA
# Crystal system: orthorhombic
# Offset from the most stable computed form, eV/atom: 0.000
# E, eV/f.u.: -30.8
# Total magnetic moment, μB per formula unit: 0.0
# Density, g/cm³: 9.77
data_InGeRh3
_chemical_formula_sum 'In8 Ge8 Rh24'
_cell_length_a 10.201
_cell_length_b 8.521
_cell_length_c 7.761
_cell_angle_alpha 90.00
_cell_angle_beta 90.00
_cell_angle_gamma 90.00
_symmetry_space_group_name_H-M 'C m c m'
_symmetry_Int_Tables_number 63
_symmetry_space_group_name_Hall '-C 2c 2'
loop_
_atom_site_label
_atom_site_type_symbol
_atom_site_fract_x
_atom_site_fract_y
_atom_site_fract_z
_atom_site_occupancy
In1 In 0.000 0.021 0.250 1
In2 In 0.000 0.352 0.750 1
Ge1 Ge 0.196 0.328 0.250 1
Rh1 Rh 0.135 0.168 0.509 1
Rh2 Rh 0.137 0.500 0.000 1


2.
# InGeRh2, relaxed, DFT PBE-GGA
# Crystal system: tetragonal
# E, eV/f.u.: -22.7
# Total magnetic moment, μB per formula unit: 0.0
# Density, g/cm³: 9.24
data_InGeRh2
_chemical_formula_sum 'In4 Ge4 Rh8'
_cell_length_a 6.961
_cell_length_b 6.961
_cell_length_c 5.833
_cell_angle_alpha 90.00
_cell_angle_beta 90.00
_cell_angle_gamma 90.00
_symmetry_space_group_name_H-M 'I -4 2 d'
_symmetry_Int_Tables_number 122
_symmetry_space_group_name_Hall 'I -4 2bw'
loop_
_atom_site_label
_atom_site_type_symbol
_atom_site_fract_x
_atom_site_fract_y
_atom_site_fract_z
_atom_site_occupancy
In1 In 0.000 0.000 0.000 1
Ge1 Ge 0.000 0.000 0.500 1
Rh1 Rh 0.204 0.750 0.625 1


3.
# InGeRh, relaxed, DFT PBE-GGA
# Crystal system: cubic
# E, eV/f.u.: -15.5
# Total magnetic moment, μB per formula unit: 0.0
# Density, g/cm³: 8.11
data_InGeRh
_chemical_formula_sum 'In4 Ge4 Rh4'
_cell_length_a 6.197
_cell_length_b 6.197
_cell_length_c 6.197
_cell_angle_alpha 90.00
_cell_angle_beta 90.00
_cell_angle_gamma 90.00
_symmetry_space_group_name_H-M 'F -4 3 m'
_symmetry_Int_Tables_number 216
_symmetry_space_group_name_Hall 'F -4 2 3'
loop_
_atom_site_label
_atom_site_type_symbol
_atom_site_fract_x
_atom_site_fract_y
_atom_site_fract_z
_atom_site_occupancy
In1 In 0.000 0.000 0.000 1
Ge1 Ge 0.000 0.000 0.500 1
Rh1 Rh 0.250 0.250 0.250 1


4.
# InGeRh, relaxed, DFT PBE-GGA
# Crystal system: orthorhombic
# E, eV/f.u.: -15.3
# Total magnetic moment, μB per formula unit: 0.0
# Density, g/cm³: 8.22
data_InGeRh
_chemical_formula_sum 'In4 Ge4 Rh4'
_cell_length_a 3.683
_cell_length_b 16.227
_cell_length_c 3.926
_cell_angle_alpha 90.00
_cell_angle_beta 90.00
_cell_angle_gamma 90.00
_symmetry_space_group_name_H-M 'C m c m'
_symmetry_Int_Tables_number 63
_symmetry_space_group_name_Hall '-C 2c 2'
loop_
_atom_site_label
_atom_site_type_symbol
_atom_site_fract_x
_atom_site_fract_y
_atom_site_fract_z
_atom_site_occupancy
In1 In 0.000 0.072 0.250 1
Ge1 Ge 0.000 0.253 0.750 1
Rh1 Rh 0.000 0.349 0.250 1


5.
# InGe2Rh2, relaxed, DFT PBE-GGA
# Crystal system: tetragonal
# E, eV/f.u.: -28.0
# Total magnetic moment, μB per formula unit: 0.0
# Density, g/cm³: 9.24
data_InGe2Rh2
_chemical_formula_sum 'In2 Ge4 Rh4'
_cell_length_a 7.560
_cell_length_b 7.560
_cell_length_c 2.931
_cell_angle_alpha 90.00
_cell_angle_beta 90.00
_cell_angle_gamma 90.00
_symmetry_space_group_name_H-M 'P 4/m b m'
_symmetry_Int_Tables_number 127
_symmetry_space_group_name_Hall '-P 4 2ab'
loop_
_atom_site_label
_atom_site_type_symbol
_atom_site_fract_x
_atom_site_fract_y
_atom_site_fract_z
_atom_site_occupancy
In1 In 0.000 0.000 0.000 1
Ge1 Ge 0.149 0.351 0.500 1
Rh1 Rh 0.142 0.642 0.000 1


6.
# InGeRh2, relaxed, DFT PBE-GGA
# Crystal system: tetragonal
# E, eV/f.u.: -23.3
# Total magnetic moment, μB per formula unit: 0.0
# Density, g/cm³: 10.30
data_InGeRh2
_chemical_formula_sum 'In1 Ge1 Rh2'
_cell_length_a 4.302
_cell_length_b 4.302
_cell_length_c 3.426
_cell_angle_alpha 90.00
_cell_angle_beta 90.00
_cell_angle_gamma 90.00
_symmetry_space_group_name_H-M 'P 4/m m m'
_symmetry_Int_Tables_number 123
_symmetry_space_group_name_Hall '-P 4 2'
loop_
_atom_site_label
_atom_site_type_symbol
_atom_site_fract_x
_atom_site_fract_y
_atom_site_fract_z
_atom_site_occupancy
In1 In 0.000 0.000 0.000 1
Ge1 Ge 0.500 0.500 0.000 1
Rh1 Rh 0.000 0.500 0.500 1


7.
# In2GeRh2, relaxed, DFT PBE-GGA
# Crystal system: tetragonal
# E, eV/f.u.: -26.3
# Total magnetic moment, μB per formula unit: 0.0
# Density, g/cm³: 9.33
data_In2GeRh2
_chemical_formula_sum 'In4 Ge2 Rh4'
_cell_length_a 6.616
_cell_length_b 6.616
_cell_length_c 4.133
_cell_angle_alpha 90.00
_cell_angle_beta 90.00
_cell_angle_gamma 90.00
_symmetry_space_group_name_H-M 'P 4/m b m'
_symmetry_Int_Tables_number 127
_symmetry_space_group_name_Hall '-P 4 2ab'
loop_
_atom_site_label
_atom_site_type_symbol
_atom_site_fract_x
_atom_site_fract_y
_atom_site_fract_z
_atom_site_occupancy
In1 In 0.154 0.346 0.000 1
Ge1 Ge 0.000 0.000 0.500 1
Rh1 Rh 0.157 0.657 0.500 1


8.
# InGeRh3, relaxed, DFT PBE-GGA
# Crystal system: cubic
# Offset from the most stable computed form, eV/atom: 1.576
# E, eV/f.u.: -23.0
# Total magnetic moment, μB per formula unit: 0.0
# Density, g/cm³: 7.27
data_InGeRh3
_chemical_formula_sum 'In1 Ge1 Rh3'
_cell_length_a 4.840
_cell_length_b 4.840
_cell_length_c 4.840
_cell_angle_alpha 90.00
_cell_angle_beta 90.00
_cell_angle_gamma 90.00
_symmetry_space_group_name_H-M 'P m -3 m'
_symmetry_Int_Tables_number 221
_symmetry_space_group_name_Hall '-P 4 2 3'
loop_
_atom_site_label
_atom_site_type_symbol
_atom_site_fract_x
_atom_site_fract_y
_atom_site_fract_z
_atom_site_occupancy
In1 In 0.000 0.000 0.000 1
Ge1 Ge 0.500 0.500 0.500 1
Rh1 Rh 0.000 0.000 0.500 1


9.
# InGeRh2, relaxed, DFT PBE-GGA
# Crystal system: tetragonal
# E, eV/f.u.: -23.8
# Total magnetic moment, μB per formula unit: 0.0
# Density, g/cm³: 10.34
data_InGeRh2
_chemical_formula_sum 'In1 Ge1 Rh2'
_cell_length_a 3.004
_cell_length_b 3.004
_cell_length_c 6.998
_cell_angle_alpha 90.00
_cell_angle_beta 90.00
_cell_angle_gamma 90.00
_symmetry_space_group_name_H-M 'P 4/m m m'
_symmetry_Int_Tables_number 123
_symmetry_space_group_name_Hall '-P 4 2'
loop_
_atom_site_label
_atom_site_type_symbol
_atom_site_fract_x
_atom_site_fract_y
_atom_site_fract_z
_atom_site_occupancy
In1 In 0.000 0.000 0.000 1
Ge1 Ge 0.000 0.000 0.500 1
Rh1 Rh 0.500 0.500 0.285 1


10.
# In3GeRh3, relaxed, DFT PBE-GGA
# Crystal system: monoclinic
# Offset from the most stable computed form, eV/atom: 0.043
# E, eV/f.u.: -36.7
# Total magnetic moment, μB per formula unit: 0.0
# Density, g/cm³: 9.38
data_In3GeRh3
_chemical_formula_sum 'In12 Ge4 Rh12'
_cell_length_a 7.529
_cell_length_b 8.886
_cell_length_c 7.681
_cell_angle_alpha 90.00
_cell_angle_beta 90.03
_cell_angle_gamma 90.00
_symmetry_space_group_name_H-M 'C 1 2/m 1'
_symmetry_Int_Tables_number 12
loop_
_symmetry_equiv_pos_as_xyz
'x,y,z'
'-x,-y,-z'
'-x,y,-z'
'x,-y,z'
'x+1/2,y+1/2,z'
'-x+1/2,-y+1/2,-z'
'-x+1/2,y+1/2,-z'
'x+1/2,-y+1/2,z'
loop_
_atom_site_label
_atom_site_type_symbol
_atom_site_fract_x
_atom_site_fract_y
_atom_site_fract_z
_atom_site_occupancy
In1 In 0.000 0.166 0.000 1
In2 In 0.000 0.257 0.500 1
In3 In 0.120 0.500 0.847 1
Ge1 Ge 0.249 0.500 0.445 1
Rh1 Rh 0.055 0.000 0.303 1
Rh2 Rh 0.209 0.323 0.212 1


11.
# In3GeRh, relaxed, DFT PBE-GGA
# Crystal system: cubic
# Offset from the most stable computed form, eV/atom: 0.000
# E, eV/f.u.: -19.5
# Total magnetic moment, μB per formula unit: 0.0
# Density, g/cm³: 6.48
data_In3GeRh
_chemical_formula_sum 'In3 Ge1 Rh1'
_cell_length_a 5.107
_cell_length_b 5.107
_cell_length_c 5.107
_cell_angle_alpha 90.00
_cell_angle_beta 90.00
_cell_angle_gamma 90.00
_symmetry_space_group_name_H-M 'P m -3 m'
_symmetry_Int_Tables_number 221
_symmetry_space_group_name_Hall '-P 4 2 3'
loop_
_atom_site_label
_atom_site_type_symbol
_atom_site_fract_x
_atom_site_fract_y
_atom_site_fract_z
_atom_site_occupancy
In1 In 0.000 0.000 0.500 1
Ge1 Ge 0.500 0.500 0.500 1
Rh1 Rh 0.000 0.000 0.000 1